# 1
{"formula": "LiYZr2", "functional": "PBE", "state": "optimized geometry", "dos_ef_per_ev_cell": 4.1, "magnetic_moment_mub_per_fu": 2.0, "crystal_system": "cubic", "delta_e_f_ev_per_atom": 0.28, "polymorph_energy_ev_per_atom": 0.163, "lattice_angstrom": [[5.121, 0.000, 0.000], [2.561, 4.435, 0.000], [2.561, 1.478, 4.182]], "species": ["Zr", "Zr", "Y", "Li"], "fractional_positions": [[0.250, 0.250, 0.250], [0.000, 0.000, 0.000], [0.750, 0.750, 0.750], [0.500, 0.500, 0.500]]}

# 2
{"formula": "SrMn2Os2", "functional": "PBE", "state": "optimized geometry", "dos_ef_per_ev_cell": 4.8, "magnetic_moment_mub_per_fu": 5.4, "crystal_system": "tetragonal", "delta_e_f_ev_per_atom": 0.33, "polymorph_energy_ev_per_atom": 0.000, "lattice_angstrom": [[4.215, 0.000, 0.000], [0.000, 4.215, 0.000], [2.107, 2.107, 5.242]], "species": ["Os", "Os", "Mn", "Mn", "Sr"], "fractional_positions": [[0.617, 0.617, 0.765], [0.383, 0.383, 0.235], [0.250, 0.750, 0.500], [0.750, 0.250, 0.500], [0.000, 0.000, 0.000]]}

# 3
{"formula": "RbAg5Te4", "functional": "PBE", "state": "optimized geometry", "dos_ef_per_ev_cell": 7.9, "magnetic_moment_mub_per_fu": 0.0, "formation_energy_uncorrected_mev_per_atom": -135, "crystal_system": "orthorhombic", "lattice_angstrom": [[-5.688, 2.081, -2.907], [-2.060, -7.172, -1.106], [-5.010, -0.066, 9.755]], "species": ["Ag", "Ag", "Ag", "Ag", "Ag", "Ag", "Ag", "Ag", "Ag", "Ag", "Te", "Te", "Te", "Te", "Te", "Te", "Te", "Te", "Rb", "Rb"], "fractional_positions": [[0.792, 0.299, 0.774], [0.208, 0.799, 0.726], [0.726, 0.500, 0.000], [0.274, 0.000, 0.500], [0.792, 0.701, 0.774], [0.208, 0.799, 0.274], [0.208, 0.201, 0.274], [0.792, 0.299, 0.226], [0.208, 0.201, 0.726], [0.792, 0.701, 0.226], [0.006, 0.798, 0.000], [0.421, 0.500, 0.186], [0.006, 0.202, 0.000], [0.579, 0.000, 0.686], [0.579, 0.000, 0.314], [0.994, 0.702, 0.500], [0.421, 0.500, 0.814], [0.994, 0.298, 0.500], [0.494, 0.000, 0.000], [0.506, 0.500, 0.500]]}

# 4
{"formula": "Sr2PdAuO4", "functional": "PBE", "state": "optimized geometry", "dos_ef_per_ev_cell": 6.4, "magnetic_moment_mub_per_fu": 0.0, "formation_energy_uncorrected_mev_per_atom": -1304, "crystal_system": "tetragonal", "lattice_angstrom": [[5.474, 0.182, 0.278], [-2.168, 5.029, -0.278], [-2.168, -2.278, 4.492]], "species": ["Au", "Sr", "Sr", "O", "O", "O", "O", "Pd"], "fractional_positions": [[0.000, 0.500, 0.500], [0.000, 0.000, 0.000], [0.500, 0.750, 0.250], [0.413, 0.964, 0.918], [0.046, 0.082, 0.494], [0.954, 0.448, 0.036], [0.587, 0.506, 0.552], [0.500, 0.250, 0.750]]}

# 5
{"formula": "CaCd4Hg5", "functional": "PBE", "state": "optimized geometry", "dos_ef_per_ev_cell": 3.1, "magnetic_moment_mub_per_fu": 0.0, "crystal_system": "tetragonal", "delta_e_f_ev_per_atom": -0.09, "polymorph_energy_ev_per_atom": 0.040, "lattice_angstrom": [[-2.058, -5.739, 1.204], [1.230, -2.389, 6.760], [-6.809, -0.393, 2.529]], "species": ["Hg", "Hg", "Hg", "Hg", "Hg", "Cd", "Cd", "Cd", "Cd", "Ca"], "fractional_positions": [[0.255, 0.794, 0.610], [0.049, 0.610, 0.206], [0.660, 0.206, 0.390], [0.672, 0.000, 0.000], [0.866, 0.390, 0.794], [0.170, 0.189, 0.389], [0.359, 0.389, 0.811], [0.748, 0.811, 0.611], [0.559, 0.611, 0.189], [0.172, 0.000, 0.000]]}

# 6
{"formula": "AcPuThN3", "functional": "PBE", "state": "optimized geometry", "dos_ef_per_ev_cell": 6.2, "magnetic_moment_mub_per_fu": 0.4, "formation_energy_uncorrected_mev_per_atom": -959, "crystal_system": "monoclinic", "lattice_angstrom": [[-2.222, -2.745, 1.338], [3.574, -5.046, -4.417], [5.048, -0.697, 6.954]], "species": ["N", "N", "N", "N", "N", "N", "Pu", "Pu", "Th", "Th", "Ac", "Ac"], "fractional_positions": [[0.750, 0.881, 0.154], [0.250, 0.784, 0.423], [0.750, 0.216, 0.577], [0.750, 0.412, 0.118], [0.250, 0.588, 0.882], [0.250, 0.119, 0.846], [0.250, 0.054, 0.571], [0.750, 0.946, 0.429], [0.750, 0.361, 0.840], [0.250, 0.639, 0.160], [0.750, 0.838, 0.845], [0.250, 0.162, 0.155]]}

# 7
{"formula": "Nd4Dy2ErTh", "functional": "PBE", "state": "optimized geometry", "dos_ef_per_ev_cell": 11.5, "magnetic_moment_mub_per_fu": 0.0, "crystal_system": "orthorhombic", "delta_e_f_ev_per_atom": 0.04, "lattice_angstrom": [[-3.631, -2.359, -2.720], [-0.333, -3.615, 3.580], [-7.505, 1.843, 8.421]], "species": ["Nd", "Nd", "Nd", "Nd", "Dy", "Dy", "Th", "Er"], "fractional_positions": [[0.500, 0.748, 0.252], [0.000, 0.249, 0.251], [0.000, 0.751, 0.749], [0.500, 0.252, 0.748], [0.500, 0.000, 0.500], [0.000, 0.000, 0.000], [0.000, 0.500, 0.500], [0.500, 0.500, 0.000]]}

# 8
{"formula": "SbPd12", "functional": "PBE", "state": "optimized geometry", "dos_ef_per_ev_cell": 22.9, "magnetic_moment_mub_per_fu": 0.0, "formation_energy_uncorrected_mev_per_atom": -30, "crystal_system": "cubic", "lattice_angstrom": [[-5.978, -1.653, -1.953], [2.707, -4.997, 3.160], [-0.360, 5.137, 3.971]], "species": ["Pd", "Pd", "Pd", "Pd", "Pd", "Pd", "Pd", "Pd", "Pd", "Pd", "Pd", "Pd", "Sb"], "fractional_positions": [[0.183, 0.314, 0.497], [0.870, 0.183, 0.686], [0.314, 0.497, 0.183], [0.817, 0.686, 0.503], [0.497, 0.183, 0.314], [0.130, 0.817, 0.314], [0.183, 0.686, 0.870], [0.314, 0.130, 0.817], [0.817, 0.314, 0.130], [0.503, 0.817, 0.686], [0.686, 0.503, 0.817], [0.686, 0.870, 0.183], [0.000, 0.000, 0.000]]}